A plane-wave DFT calculation with PBE was carried out for a geometry-optimized MgSi2Os structure.

Computed properties:
- E_form (uncorrected) (eV per atom) = 0.20
- M_tot (μB per cell) = 0.000
- space-group type = Cmmm (65)

```
MgSi2Os
1.0
1.513 -2.491 0.000
1.513 2.491 0.000
0.000 0.000 8.313
Mg Si Os
1 2 1
Direct
0.000 0.000 0.000
0.500 0.500 0.271
0.500 0.500 0.729
0.000 0.000 0.500
```